Entry 1:
The following is a DFT calculation (PBE) of a relaxed HfBePd crystal.

Cell lengths 2.966, 2.966, 10.078 Å; angles 90.00, 90.00, 90.00 degrees
Space group P4/mmm (No. 123)
Inequivalent atoms, fractional coordinates:
Hf 0.000 0.000 0.199 (multiplicity 2)
Be 0.500 0.500 0.380 (multiplicity 2)
Pd 0.000 0.000 0.500 (multiplicity 1)
Pd 0.500 0.500 0.000 (multiplicity 1)

Values from the calculation:
VASP energy in eV/atom: -6.658
Size of the total moment in μB per formula unit: 0.00

=====

Entry 2:
The following is a DFT calculation (PBE) of a relaxed HfBePd crystal.

Cell lengths 6.069, 6.069, 6.069 Å; angles 90.00, 90.00, 90.00 degrees
Space group F-43m (No. 216)
Inequivalent atoms, fractional coordinates:
Hf 0.000 0.000 0.000 (multiplicity 4)
Be 0.250 0.250 0.750 (multiplicity 4)
Pd 0.250 0.250 0.250 (multiplicity 4)

Values from the calculation:
VASP energy in eV/atom: -5.919
Size of the total moment in μB per formula unit: 0.00

=====

Entry 3:
The following is a DFT calculation (PBE) of a relaxed Hf2Be2Pd3 crystal.

Cell lengths 4.3636, 4.3636, 20.5895 Å; angles 90.00, 90.00, 120.00 degrees
Space group R3m (No. 160, hexagonal axes)
Inequivalent atoms, fractional coordinates:
Hf 0.0000 0.0000 0.0000 (multiplicity 3)
Hf 0.0000 0.0000 0.4826 (multiplicity 3)
Be 0.0000 0.0000 0.2354 (multiplicity 3)
Be 0.0000 0.0000 0.7395 (multiplicity 3)
Pd 0.0000 0.0000 0.3577 (multiplicity 3)
Pd 0.0000 0.0000 0.6131 (multiplicity 3)
Pd 0.0000 0.0000 0.8659 (multiplicity 3)

Values from the calculation:
VASP energy in eV/atom: -6.518
Size of the total moment in μB per formula unit: 0.02

=====

Entry 4:
The following is a DFT calculation (PBE) of a relaxed PmHfBe crystal.

Cell lengths 6.668, 6.668, 6.668 Å; angles 90.00, 90.00, 90.00 degrees
Space group F-43m (No. 216)
Inequivalent atoms, fractional coordinates:
Pm 0.000 0.000 0.000 (multiplicity 4)
Hf 0.250 0.250 0.250 (multiplicity 4)
Be 0.250 0.250 0.750 (multiplicity 4)

Values from the calculation:
VASP energy in eV/atom: -4.795
Size of the total moment in μB per formula unit: 0.53

=====

Please write out number 3 again, unchanged.
The following is a DFT calculation (PBE) of a relaxed Hf2Be2Pd3 crystal.

Cell lengths 4.3636, 4.3636, 20.5895 Å; angles 90.00, 90.00, 120.00 degrees
Space group R3m (No. 160, hexagonal axes)
Inequivalent atoms, fractional coordinates:
Hf 0.0000 0.0000 0.0000 (multiplicity 3)
Hf 0.0000 0.0000 0.4826 (multiplicity 3)
Be 0.0000 0.0000 0.2354 (multiplicity 3)
Be 0.0000 0.0000 0.7395 (multiplicity 3)
Pd 0.0000 0.0000 0.3577 (multiplicity 3)
Pd 0.0000 0.0000 0.6131 (multiplicity 3)
Pd 0.0000 0.0000 0.8659 (multiplicity 3)

Values from the calculation:
VASP energy in eV/atom: -6.518
Size of the total moment in μB per formula unit: 0.02